A relaxed structure of Ca2VO4. Source: Alexandria via LeMat-Bulk, functional PBE+U.

Geometry as POSCAR:
```
Ca2VO4
1.0
-3.924 3.924 3.508
3.924 -3.924 3.508
3.924 3.924 -3.508
Ca V O
4 2 8
Direct
0.086 0.125 0.461 Ca
0.375 0.914 0.039 Ca
0.664 0.625 0.539 Ca
0.875 0.336 0.961 Ca
0.250 0.750 0.500 V
0.500 0.500 0.000 V
0.096 0.843 0.666 O
0.157 0.823 0.253 O
0.177 0.430 0.334 O
0.180 0.427 0.834 O
0.570 0.904 0.747 O
0.573 0.407 0.753 O
0.593 0.346 0.166 O
0.654 0.820 0.247 O
```

**ρ**: 2999 kg/m³
**Crystal system**: tetragonal
**Electronic total energy**: -0.5202 Ry per atom
**M_tot**: 2.00 Bohr magnetons per cell